Crystalline ScZn2 at its relaxed geometry, computed with PBE-GGA.

a b c (Å): 5.670 5.670 4.403
angles (deg): 90.00 90.00 46.09
Fractional positions:
Sc1 0.244 0.756 0.750
Sc2 0.756 0.244 0.250
Zn1 0.089 0.550 0.250
Zn2 0.450 0.911 0.250
Zn3 0.550 0.089 0.750
Zn4 0.911 0.450 0.750

uncorrected energy	-19.21	eV per cell
space-group type	Cmcm, No. 63
ρ	5.724	Mg/m³
formation energy	-250	meV per atom
crystal system	orthorhombic

---

Crystalline Sc2Zn17 at its relaxed geometry, computed with PBE-GGA.

a b c (Å): 6.693 6.693 6.693
angles (deg): 82.46 82.46 82.46
Fractional positions:
Sc1 0.167 0.167 0.167
Sc2 0.833 0.833 0.833
Zn1 0.000 0.500 0.500
Zn2 0.145 0.145 0.663
Zn3 0.145 0.663 0.145
Zn4 0.197 0.500 0.803
Zn5 0.197 0.803 0.500
Zn6 0.337 0.855 0.855
Zn7 0.399 0.399 0.399
Zn8 0.500 0.000 0.500
Zn9 0.500 0.197 0.803
Zn10 0.500 0.500 0.000
Zn11 0.500 0.803 0.197
Zn12 0.601 0.601 0.601
Zn13 0.663 0.145 0.145
Zn14 0.803 0.197 0.500
Zn15 0.803 0.500 0.197
Zn16 0.855 0.337 0.855
Zn17 0.855 0.855 0.337

uncorrected energy	-37.44	eV per cell
space-group type	R-3m, No. 166
ρ	6.818	Mg/m³
formation energy	-173	meV per atom
crystal system	trigonal

---

Crystalline ScZn3 at its relaxed geometry, computed with PBE-GGA.

a b c (Å): 4.512 6.196 4.524
angles (deg): 90.00 90.00 90.00
Fractional positions:
Sc1 0.250 0.250 0.237
Sc2 0.750 0.750 0.763
Zn1 0.250 0.001 0.736
Zn2 0.250 0.499 0.736
Zn3 0.250 0.750 0.240
Zn4 0.750 0.250 0.760
Zn5 0.750 0.501 0.264
Zn6 0.750 0.999 0.264

uncorrected energy	-22.55	eV per cell
space-group type	Pmmn, No. 59
ρ	6.333	Mg/m³
formation energy	-288	meV per atom
crystal system	orthorhombic

---

Crystalline ScZn2 at its relaxed geometry, computed with PBE-GGA.

a b c (Å): 4.605 9.470 4.833
angles (deg): 90.00 90.00 90.00
Fractional positions:
Sc1 0.250 0.085 0.114
Sc2 0.250 0.415 0.114
Sc3 0.750 0.585 0.886
Sc4 0.750 0.915 0.886
Zn1 0.250 0.250 0.622
Zn2 0.250 0.604 0.564
Zn3 0.250 0.750 0.069
Zn4 0.250 0.896 0.564
Zn5 0.750 0.104 0.436
Zn6 0.750 0.250 0.931
Zn7 0.750 0.396 0.436
Zn8 0.750 0.750 0.378

uncorrected energy	-37.06	eV per cell
space-group type	Pmmn, No. 59
ρ	5.539	Mg/m³
formation energy	-135	meV per atom
crystal system	orthorhombic

---

Crystalline ZrScZn2 at its relaxed geometry, computed with PBE-GGA.

a b c (Å): 5.787 5.787 4.712
angles (deg): 90.00 90.00 109.98
Fractional positions:
Zr1 0.127 0.873 0.750
Zr2 0.873 0.127 0.250
Sc1 0.376 0.624 0.250
Sc2 0.624 0.376 0.750
Zn1 0.127 0.374 0.750
Zn2 0.374 0.127 0.250
Zn3 0.626 0.873 0.750
Zn4 0.873 0.626 0.250

uncorrected energy	-37.36	eV per cell
space-group type	Cmcm, No. 63
ρ	5.979	Mg/m³
formation energy	-319	meV per atom
crystal system	orthorhombic

---

Crystalline ZrScZn at its relaxed geometry, computed with PBE-GGA.

a b c (Å): 4.661 4.661 4.661
angles (deg): 60.00 60.00 60.00
Fractional positions:
Zr1 0.000 0.000 0.000
Sc1 0.750 0.750 0.750
Zn1 0.250 0.250 0.250

uncorrected energy	-13.98	eV per cell
excess energy over the best structure of this formula in the dataset	0.000	eV per atom
space-group type	F-43m, No. 216
ρ	4.676	Mg/m³
formation energy	719	meV per atom
crystal system	cubic

---

What is the ρ in the first record? 5.724 Mg/m³